# Dy2YMoO8 | the Alexandria database | GGA+U | optimized geometry
data_Dy2YMoO8
_chemical_formula_sum 'Dy4 Y2 Mo2 O16'
_cell_length_a 7.113
_cell_length_b 7.200
_cell_length_c 6.808
_cell_angle_alpha 90.00
_cell_angle_beta 90.00
_cell_angle_gamma 90.00
_symmetry_space_group_name_H-M 'C m m m'
_symmetry_Int_Tables_number 65
_symmetry_space_group_name_Hall '-C 2 2'
loop_
_atom_site_label
_atom_site_type_symbol
_atom_site_fract_x
_atom_site_fract_y
_atom_site_fract_z
Dy1 Dy 0.000 0.000 0.250
Y1 Y 0.000 0.500 0.000
Mo1 Mo 0.000 0.500 0.500
O1 O 0.000 0.317 0.289
O2 O 0.192 0.000 0.000
O3 O 0.226 0.000 0.500
# - Total DFT energy (no corrections): -7.871 eV per atom
# - Volume: 348.7 Å³/cell